DFT (PBE-GGA) results for HfTh2Pb after structural relaxation.

The space group is P4/mmm (No. 123) and the conventional cell measures 4.766, 4.766 and 4.916 Å, with angles of 90.00, 90.00 and 90.00 degrees. The asymmetric unit holds Hf at (0.000, 0.000, 0.000), Th at (0.000, 0.500, 0.500) and Pb at (0.500, 0.500, 0.000).

The formation energy is -5.5 kJ per mole of atoms. Its total magnetization is 0.0 Bohr magnetons per cell.

=====

DFT (PBE-GGA) results for Hf2ThPb after structural relaxation.

The space group is Fm-3m (No. 225) and the conventional cell measures 7.332, 7.332 and 7.332 Å, with angles of 90.00, 90.00 and 90.00 degrees. The asymmetric unit holds Hf at (0.250, 0.250, 0.250), Th at (0.000, 0.000, 0.000) and Pb at (0.000, 0.000, 0.500).

The formation energy is 15.4 kJ per mole of atoms. Its total magnetization is 0.0 Bohr magnetons per cell.

=====

DFT (PBE-GGA) results for HfTi8Pb2 after structural relaxation.

The space group is C2/m (No. 12) and the conventional cell measures 13.528, 4.847 and 7.415 Å, with angles of 90.00, 121.37 and 90.00 degrees. The asymmetric unit holds Hf at (0.000, 0.000, 0.000), Ti at (0.038, 0.500, 0.758), Ti at (0.084, 0.000, 0.442), Ti at (0.147, 0.500, 0.202), Ti at (0.173, 0.000, 0.881) and Pb at (0.216, 0.500, 0.656).

The formation energy is -1.3 kJ per mole of atoms. Its total magnetization is 0.0 Bohr magnetons per cell.